9
Lattice="5.5432 0.0000 0.0000 -2.7716 4.8005 0.0000 0.0000 0.0000 3.0555" Properties=species:S:1:pos:R:3 comment="PBE CrCoB, relaxed" final_energy_ev_per_atom=-8.083 spacegroup="No. 189" ef_ev_per_atom=-0.2813 pbc="T T T"
Cr -1.1409 1.9761 0.0000
Cr 2.2818 0.0000 0.0000
Cr 1.6307 2.8244 0.0000
Co -2.0706 3.5863 1.5278
Co 0.7010 1.2142 1.5278
Co 4.1411 0.0000 1.5278
B 0.0000 0.0000 0.0000
B 0.0000 3.2004 1.5278
B 2.7716 1.6002 1.5278

5
Lattice="3.7350 0.0000 0.0000 0.0000 3.7350 0.0000 0.0000 0.0000 3.7350" Properties=species:S:1:pos:R:3 comment="PBE CrCo3B, relaxed" final_energy_ev_per_atom=-7.250 spacegroup="No. 221" ef_ev_per_atom=0.2737 pbc="T T T"
Cr 0.0000 0.0000 0.0000
Co 0.0000 1.8675 1.8675
Co 1.8675 0.0000 1.8675
Co 1.8675 1.8675 0.0000
B 1.8675 1.8675 1.8675

6
Lattice="2.4749 0.0000 0.0000 0.0000 2.4749 0.0000 0.0000 0.0000 8.7928" Properties=species:S:1:pos:R:3 comment="PBE CrCoB, relaxed" final_energy_ev_per_atom=-7.948 spacegroup="No. 107" ef_ev_per_atom=-0.1455 pbc="T T T"
Cr 0.0000 0.0000 0.0000
Cr 1.2375 1.2375 4.3964
Co 0.0000 0.0000 2.5554
Co 1.2375 1.2375 6.9518
B 0.0000 0.0000 5.8449
B 1.2375 1.2375 1.4485

10
Lattice="2.0885 -5.3923 0.0000 2.0885 5.3923 0.0000 0.0000 0.0000 4.1719" Properties=species:S:1:pos:R:3 comment="PBE Cr2CoB2, relaxed" final_energy_ev_per_atom=-7.920 spacegroup="No. 63" ef_ev_per_atom=0.0211 de_polymorph_mev_per_atom=424 pbc="T T T"
Cr 2.0885 4.4974 3.1289
Cr 2.0885 2.2498 1.0430
Cr 2.0885 -2.2498 3.1289
Cr 2.0885 -4.4974 1.0430
Co 2.0885 0.0000 0.0000
Co 2.0885 0.0000 2.0859
B 0.9266 1.2842 3.1289
B 0.9266 -1.2842 1.0430
B 3.2504 1.2842 3.1289
B 3.2504 -1.2842 1.0430

5
Lattice="4.1953 0.0000 0.0000 0.0000 4.1953 0.0000 0.0000 0.0000 3.9122" Properties=species:S:1:pos:R:3 comment="PBE CrGaCo2B, relaxed" final_energy_ev_per_atom=-5.539 spacegroup="No. 123" ef_ev_per_atom=1.1686 pbc="T T T"
Cr 0.0000 0.0000 0.0000
Ga 2.0976 2.0976 1.9561
Co 0.0000 2.0976 0.0000
Co 2.0976 0.0000 0.0000
B 0.0000 0.0000 1.9561

5
Lattice="4.5459 0.0000 0.0000 0.0000 4.5459 0.0000 0.0000 0.0000 4.0490" Properties=species:S:1:pos:R:3 comment="PBE Nb2CrCoB, relaxed" final_energy_ev_per_atom=-7.153 spacegroup="No. 123" ef_ev_per_atom=1.5562 pbc="T T T"
Nb 0.0000 2.2729 0.0000
Nb 2.2729 0.0000 0.0000
Cr 0.0000 0.0000 0.0000
Co 0.0000 0.0000 2.0245
B 2.2729 2.2729 2.0245

> What is the formula in the second record?

CrCo3B